VASP calculation (PBE-GGA) on crystalline PrZn at its relaxed geometry.

Summary:
* space-group type: Pnma
* magnetic moment: 0.02 μB/cell
* ΔE_f: -0.26 eV/atom
* DFT total energy: -3.283 eV/atom

Structure (extended XYZ):
```
8
Lattice="6.4861 0.0000 0.0000 0.0000 6.4152 0.0000 0.0000 0.0000 4.8011" Properties=species:S:1:pos:R:3 pbc="T T T"
Pr 0.3990 3.2913 0.0000
Pr 3.6421 4.7279 0.0000
Pr 1.7630 0.0836 2.4005
Pr 5.0061 1.5203 2.4005
Zn 3.0973 1.6509 0.0000
Zn 6.3403 6.3682 0.0000
Zn 2.3078 3.1605 2.4005
Zn 5.5509 4.8586 2.4005
```